[1]
! SrCoSe2 (PBE-GGA, optimized geometry); values from VASP
! - Distance to the lowest polymorph of the same formula: 0.593 eV per atom
! - Calculated total energy: -17.1 eV per cell
! - ΔE_f (raw): -333 meV/atom
! - N(E_F): 1.59 states/eV/f.u.
! - Total moment: 0.138 μB/atom
! - ρ: 4.97 Mg/m³
&SYSTEM
  ibrav = 0, nat = 4, ntyp = 3
/
ATOMIC_SPECIES
Sr 87.62 Sr.upf
Co 58.93 Co.upf
Se 78.96 Se.upf
CELL_PARAMETERS angstrom
5.698 -3.530 5.430
7.739 -0.903 3.703
5.552 0.027 6.603
ATOMIC_POSITIONS angstrom
Sr 0.000 0.000 0.000
Co 9.495 -2.203 7.868
Se 16.696 -3.873 13.836
Se 2.293 -0.532 1.900

[2]
! Ac3Cd7Ag2 (PBE-GGA, optimized geometry); values from VASP
! - Calculated total energy: -27.5 eV per cell
! - N(E_F): 9.05 states/eV/f.u.
! - Total moment: 0.000 μB/atom
! - ρ: 8.80 Mg/m³
! - Calculated formation energy: -3.102 eV per formula unit
&SYSTEM
  ibrav = 0, nat = 12, ntyp = 3
/
ATOMIC_SPECIES
Ac 227.00 Ac.upf
Cd 112.41 Cd.upf
Ag 107.87 Ag.upf
CELL_PARAMETERS angstrom
5.857 0.000 1.833
2.641 5.227 1.833
-0.029 -0.018 10.367
ATOMIC_POSITIONS angstrom
Ac 0.000 0.000 0.000
Ac 7.273 4.474 7.581
Ac 1.196 0.735 6.452
Cd 4.925 3.030 10.007
Cd 4.880 4.825 4.953
Cd 3.543 2.179 4.026
Cd 3.589 0.384 9.080
Cd 1.961 3.030 9.080
Cd 4.234 2.605 7.016
Cd 6.507 2.179 4.953
Ag 2.814 1.731 11.555
Ag 5.655 3.478 2.478

[3]
! LiAc2Ge2 (PBE-GGA, optimized geometry); values from VASP
! - Distance to the lowest polymorph of the same formula: 0.000 eV per atom
! - Calculated total energy: -45.0 eV per cell
! - N(E_F): 1.87 states/eV/f.u.
! - Total moment: 0.162 μB/atom
! - ρ: 7.38 Mg/m³
! - Calculated formation energy: -3.136 eV per formula unit
&SYSTEM
  ibrav = 0, nat = 10, ntyp = 3
/
ATOMIC_SPECIES
Ac 227.00 Ac.upf
Ge 72.64 Ge.upf
Li 6.94 Li.upf
CELL_PARAMETERS angstrom
4.681 0.000 0.000
2.341 5.853 -0.380
2.341 0.238 9.941
ATOMIC_POSITIONS angstrom
Ac 4.681 1.858 3.179
Ac 2.341 4.238 0.716
Ac 4.681 4.232 6.382
Ac 7.022 1.852 8.844
Ge 2.341 1.923 5.551
Ge 7.022 4.168 4.010
Ge 7.022 5.317 8.454
Ge 2.341 0.773 1.107
Li 4.681 5.381 3.301
Li 4.681 0.709 6.260

[4]
! Cd6AgAu2 (PBE-GGA, optimized geometry); values from VASP
! - Distance to the lowest polymorph of the same formula: 0.033 eV per atom
! - Calculated total energy: -15.4 eV per cell
! - N(E_F): 1.89 states/eV/f.u.
! - Total moment: 0.000 μB/atom
! - ρ: 10.18 Mg/m³
! - Calculated formation energy: -0.509 eV per formula unit
&SYSTEM
  ibrav = 0, nat = 9, ntyp = 3
/
ATOMIC_SPECIES
Cd 112.41 Cd.upf
Au 196.97 Au.upf
Ag 107.87 Ag.upf
CELL_PARAMETERS angstrom
-1.847 -2.220 0.939
4.287 -4.283 3.214
-1.117 2.760 9.236
ATOMIC_POSITIONS angstrom
Cd -0.699 -1.213 5.575
Cd 0.101 -2.965 3.005
Cd 2.405 -2.067 4.751
Cd 2.023 -2.530 7.814
Cd -1.081 -1.675 8.638
Cd 1.223 -0.777 10.384
Au -0.833 -0.201 2.794
Au 2.157 -3.541 10.595
Ag 0.000 0.000 0.000